No. 1
Below is NbVNiPt after structural relaxation, with properties calculated at the GGA-PBE level.

* raw total energy: -8.01 eV/atom
* calculated volume: 230.8 Å³/cell
* ΔE to the lowest computed polymorph: 136 meV/atom
* calculated formation energy: -0.262 eV/atom
* crystal system: cubic

abc: 6.134 6.134 6.134
angles: 90.00 90.00 90.00
Space group F-43m (No. 216)
Symmetry-distinct sites (fractional):
Nb 0.000 0.000 0.000 [4 per cell]
V 0.250 0.250 0.750 [4 per cell]
Ni 0.250 0.250 0.250 [4 per cell]
Pt 0.000 0.000 0.500 [4 per cell]

---

No. 2
Below is NbVNiPt2 after structural relaxation, with properties calculated at the GGA-PBE level.

* raw total energy: -6.77 eV/atom
* calculated volume: 86.0 Å³/cell
* calculated formation energy: 0.642 eV/atom
* crystal system: tetragonal

abc: 4.594 4.594 4.076
angles: 90.00 90.00 90.00
Space group P4/mmm (No. 123)
Symmetry-distinct sites (fractional):
Nb 0.000 0.000 0.000 [1 per cell]
V 0.500 0.500 0.000 [1 per cell]
Ni 0.500 0.500 0.500 [1 per cell]
Pt 0.000 0.500 0.500 [2 per cell]

---

No. 3
Below is NbVNiPt after structural relaxation, with properties calculated at the GGA-PBE level.

* raw total energy: -8.15 eV/atom
* calculated volume: 57.5 Å³/cell
* ΔE to the lowest computed polymorph: 0 meV/atom
* calculated formation energy: -0.398 eV/atom
* crystal system: orthorhombic

abc: 3.711 3.883 3.989
angles: 90.00 90.00 90.00
Space group Pmmm (No. 47)
Symmetry-distinct sites (fractional):
Nb 0.000 0.000 0.000 [1 per cell]
V 0.500 0.500 0.000 [1 per cell]
Ni 0.500 0.000 0.500 [1 per cell]
Pt 0.000 0.500 0.500 [1 per cell]

---

No. 4
Below is NbNi2PtW after structural relaxation, with properties calculated at the GGA-PBE level.

* raw total energy: -6.71 eV/atom
* calculated volume: 95.4 Å³/cell
* calculated formation energy: 1.418 eV/atom
* crystal system: tetragonal

abc: 4.483 4.483 4.750
angles: 90.00 90.00 90.00
Space group P4/mmm (No. 123)
Symmetry-distinct sites (fractional):
Nb 0.000 0.000 0.000 [1 per cell]
Ni 0.000 0.500 0.500 [2 per cell]
Pt 0.500 0.500 0.000 [1 per cell]
W 0.000 0.000 0.500 [1 per cell]

---

No. 5
Below is PuNb2Ni after structural relaxation, with properties calculated at the GGA-PBE level.

* raw total energy: -9.62 eV/atom
* calculated volume: 220.4 Å³/cell
* calculated formation energy: 0.440 eV/atom
* crystal system: trigonal

abc: 2.8806 2.8806 30.6696
angles: 90.00 90.00 120.00
Space group R-3m (No. 166, hexagonal axes)
Symmetry-distinct sites (fractional):
Pu 0.0000 0.0000 0.0000 [3 per cell]
Nb 0.0000 0.0000 0.0974 [6 per cell]
Ni 0.0000 0.0000 0.5000 [3 per cell]

---

No. 6
Below is PuNbNi2 after structural relaxation, with properties calculated at the GGA-PBE level.

* raw total energy: -9.05 eV/atom
* calculated volume: 67.9 Å³/cell
* ΔE to the lowest computed polymorph: 0 meV/atom
* calculated formation energy: -0.058 eV/atom
* crystal system: tetragonal

abc: 3.139 3.139 6.893
angles: 90.00 90.00 90.00
Space group P4/mmm (No. 123)
Symmetry-distinct sites (fractional):
Pu 0.000 0.000 0.000 [1 per cell]
Nb 0.000 0.000 0.500 [1 per cell]
Ni 0.500 0.500 0.307 [2 per cell]

---

No. 7
Below is PuNbNi after structural relaxation, with properties calculated at the GGA-PBE level.

* raw total energy: -9.81 eV/atom
* calculated volume: 421.7 Å³/cell
* ΔE to the lowest computed polymorph: 185 meV/atom
* calculated formation energy: 0.256 eV/atom
* crystal system: orthorhombic

abc: 5.182 7.012 11.605
angles: 90.00 90.00 90.00
Space group Fmmm (No. 69)
Symmetry-distinct sites (fractional):
Pu 0.000 0.169 0.000 [8 per cell]
Nb 0.250 0.250 0.250 [8 per cell]
Ni 0.000 0.000 0.388 [8 per cell]

---

No. 8
Below is PuNbNi after structural relaxation, with properties calculated at the GGA-PBE level.

* raw total energy: -9.99 eV/atom
* calculated volume: 109.8 Å³/cell
* ΔE to the lowest computed polymorph: 0 meV/atom
* calculated formation energy: 0.070 eV/atom
* crystal system: tetragonal

abc: 3.079 3.079 11.583
angles: 90.00 90.00 90.00
Space group I4mm (No. 107)
Symmetry-distinct sites (fractional):
Pu 0.000 0.000 0.000 [2 per cell]
Nb 0.000 0.000 0.696 [2 per cell]
Ni 0.000 0.000 0.317 [2 per cell]

---

No. 9
Below is PuNbNi after structural relaxation, with properties calculated at the GGA-PBE level.

* raw total energy: -9.84 eV/atom
* calculated volume: 51.9 Å³/cell
* ΔE to the lowest computed polymorph: 148 meV/atom
* calculated formation energy: 0.219 eV/atom
* crystal system: trigonal

abc: 4.5508 4.5508 2.8954
angles: 90.00 90.00 120.00
Space group P3m1 (No. 156)
Symmetry-distinct sites (fractional):
Pu 0.0000 0.0000 0.0000 [1 per cell]
Nb 0.6667 0.3333 0.6961 [1 per cell]
Ni 0.3333 0.6667 0.3364 [1 per cell]

---

No. 10
Below is PuNbNi10 after structural relaxation, with properties calculated at the GGA-PBE level.

* raw total energy: -6.96 eV/atom
* calculated volume: 156.0 Å³/cell
* calculated formation energy: -0.106 eV/atom
* crystal system: orthorhombic

abc: 3.963 4.755 8.279
angles: 90.00 90.00 90.00
Space group Pmmm (No. 47)
Symmetry-distinct sites (fractional):
Pu 0.000 0.000 0.000 [1 per cell]
Nb 0.000 0.500 0.500 [1 per cell]
Ni 0.000 0.000 0.342 [2 per cell]
Ni 0.000 0.500 0.177 [2 per cell]
Ni 0.500 0.000 0.500 [1 per cell]
Ni 0.500 0.255 0.259 [4 per cell]
Ni 0.500 0.500 0.000 [1 per cell]

---

No. 11
Below is PuNb2Ni9 after structural relaxation, with properties calculated at the GGA-PBE level.

* raw total energy: -7.41 eV/atom
* calculated volume: 476.6 Å³/cell
* calculated formation energy: -0.204 eV/atom
* crystal system: trigonal

abc: 4.8293 4.8293 23.5941
angles: 90.00 90.00 120.00
Space group R-3m (No. 166, hexagonal axes)
Symmetry-distinct sites (fractional):
Pu 0.0000 0.0000 0.0000 [3 per cell]
Nb 0.0000 0.0000 0.1418 [6 per cell]
Ni 0.0000 0.0000 0.3335 [6 per cell]
Ni 0.0000 0.0000 0.5000 [3 per cell]
Ni 0.0046 0.5023 0.9136 [18 per cell]

---

No. 12
Below is PuNbNi4 after structural relaxation, with properties calculated at the GGA-PBE level.

* raw total energy: -8.07 eV/atom
* calculated volume: 337.6 Å³/cell
* calculated formation energy: -0.147 eV/atom
* crystal system: cubic

abc: 6.963 6.963 6.963
angles: 90.00 90.00 90.00
Space group F-43m (No. 216)
Symmetry-distinct sites (fractional):
Pu 0.000 0.000 0.000 [4 per cell]
Nb 0.250 0.250 0.750 [4 per cell]
Ni 0.125 0.125 0.375 [16 per cell]

---

No. 13
Below is PuNbNi2 after structural relaxation, with properties calculated at the GGA-PBE level.

* raw total energy: -8.76 eV/atom
* calculated volume: 208.9 Å³/cell
* ΔE to the lowest computed polymorph: 293 meV/atom
* calculated formation energy: 0.235 eV/atom
* crystal system: trigonal

abc: 3.1466 3.1466 24.3683
angles: 90.00 90.00 120.00
Space group R-3m (No. 166, hexagonal axes)
Symmetry-distinct sites (fractional):
Pu 0.0000 0.0000 0.0000 [3 per cell]
Nb 0.0000 0.0000 0.5000 [3 per cell]
Ni 0.0000 0.0000 0.2388 [6 per cell]

---

No. 14
Below is RbNb2Ni after structural relaxation, with properties calculated at the GGA-PBE level.

* raw total energy: -5.24 eV/atom
* calculated volume: 291.2 Å³/cell
* ΔE to the lowest computed polymorph: 18 meV/atom
* calculated formation energy: 1.482 eV/atom
* crystal system: cubic

abc: 6.628 6.628 6.628
angles: 90.00 90.00 90.00
Space group Fm-3m (No. 225)
Symmetry-distinct sites (fractional):
Rb 0.000 0.000 0.000 [4 per cell]
Nb 0.250 0.250 0.250 [8 per cell]
Ni 0.000 0.000 0.500 [4 per cell]

---

No. 15
Below is RbNb2Ni after structural relaxation, with properties calculated at the GGA-PBE level.

* raw total energy: -5.26 eV/atom
* calculated volume: 458.1 Å³/cell
* ΔE to the lowest computed polymorph: 0 meV/atom
* calculated formation energy: 1.464 eV/atom
* crystal system: tetragonal

abc: 5.123 5.123 17.454
angles: 90.00 90.00 90.00
Space group I4_1/amd (No. 141, origin choice 2)
Symmetry-distinct sites (fractional):
Rb 0.000 0.250 0.375 [4 per cell]
Nb 0.000 0.000 0.000 [8 per cell]
Ni 0.000 0.250 0.875 [4 per cell]

---

No. 16
Below is RbNbReNi2 after structural relaxation, with properties calculated at the GGA-PBE level.

* raw total energy: -5.81 eV/atom
* calculated volume: 111.8 Å³/cell
* calculated formation energy: 1.195 eV/atom
* crystal system: tetragonal

abc: 4.832 4.832 4.789
angles: 90.00 90.00 90.00
Space group P4/mmm (No. 123)
Symmetry-distinct sites (fractional):
Rb 0.000 0.000 0.000 [1 per cell]
Nb 0.500 0.500 0.000 [1 per cell]
Re 0.500 0.500 0.500 [1 per cell]
Ni 0.000 0.500 0.500 [2 per cell]

---

No. 17
Below is RbNbNi2Rh after structural relaxation, with properties calculated at the GGA-PBE level.

* raw total energy: -4.15 eV/atom
* calculated volume: 115.5 Å³/cell
* calculated formation energy: 1.836 eV/atom
* crystal system: tetragonal

abc: 4.559 4.559 5.554
angles: 90.00 90.00 90.00
Space group P4/mmm (No. 123)
Symmetry-distinct sites (fractional):
Rb 0.000 0.000 0.000 [1 per cell]
Nb 0.000 0.000 0.500 [1 per cell]
Ni 0.000 0.500 0.500 [2 per cell]
Rh 0.500 0.500 0.000 [1 per cell]

---

No. 18
Below is RbNb2NiRh after structural relaxation, with properties calculated at the GGA-PBE level.

* raw total energy: -5.29 eV/atom
* calculated volume: 117.0 Å³/cell
* calculated formation energy: 1.563 eV/atom
* crystal system: tetragonal

abc: 4.643 4.643 5.429
angles: 90.00 90.00 90.00
Space group P4/mmm (No. 123)
Symmetry-distinct sites (fractional):
Rb 0.000 0.000 0.000 [1 per cell]
Nb 0.000 0.500 0.500 [2 per cell]
Ni 0.000 0.000 0.500 [1 per cell]
Rh 0.500 0.500 0.000 [1 per cell]

---

No. 19
Below is Rb2NbNi2S4 after structural relaxation, with properties calculated at the GGA-PBE level.

* raw total energy: -5.30 eV/atom
* calculated volume: 367.8 Å³/cell
* energy relative to the elements, uncorrected: -0.849 eV/atom
* crystal system: monoclinic

abc: 13.495 3.628 7.836
angles: 90.00 106.52 90.00
Space group C2/m (No. 12)
Symmetry-distinct sites (fractional):
Rb 0.137 0.000 0.059 [4 per cell]
Nb 0.000 0.000 0.500 [2 per cell]
Ni 0.170 0.500 0.485 [4 per cell]
S 0.017 0.500 0.280 [4 per cell]
S 0.195 0.000 0.656 [4 per cell]

---

No. 20
Below is RbNbNi2Sb after structural relaxation, with properties calculated at the GGA-PBE level.

* raw total energy: -4.62 eV/atom
* calculated volume: 128.6 Å³/cell
* energy relative to the elements, uncorrected: 0.721 eV/atom
* crystal system: tetragonal

abc: 4.898 4.898 5.361
angles: 90.00 90.00 90.00
Space group P4/mmm (No. 123)
Symmetry-distinct sites (fractional):
Rb 0.000 0.000 0.000 [1 per cell]
Nb 0.500 0.500 0.500 [1 per cell]
Ni 0.000 0.500 0.500 [2 per cell]
Sb 0.500 0.500 0.000 [1 per cell]

---

No. 21
Below is RbNbNiTe3 after structural relaxation, with properties calculated at the GGA-PBE level.

* raw total energy: -4.93 eV/atom
* calculated volume: 358.2 Å³/cell
* energy relative to the elements, uncorrected: -0.559 eV/atom
* crystal system: monoclinic

abc: 9.781 3.876 10.492
angles: 90.00 115.76 90.00
Space group P2_1/m (No. 11)
Symmetry-distinct sites (fractional):
Rb 0.002 0.250 0.264 [2 per cell]
Nb 0.470 0.250 0.185 [2 per cell]
Ni 0.484 0.750 0.396 [2 per cell]
Te 0.253 0.750 0.155 [2 per cell]
Te 0.325 0.750 0.541 [2 per cell]
Te 0.344 0.250 0.875 [2 per cell]

---

No. 22
Below is NbReNi after structural relaxation, with properties calculated at the GGA-PBE level.

* raw total energy: -9.35 eV/atom
* calculated volume: 89.6 Å³/cell
* calculated formation energy: 0.082 eV/atom
* crystal system: tetragonal

abc: 3.248 3.248 8.499
angles: 90.00 90.00 90.00
Space group I4mm (No. 107)
Symmetry-distinct sites (fractional):
Nb 0.000 0.000 0.000 [2 per cell]
Re 0.000 0.000 0.333 [2 per cell]
Ni 0.000 0.000 0.672 [2 per cell]

---

No. 23
Below is NbRe2Ni2 after structural relaxation, with properties calculated at the GGA-PBE level.

* raw total energy: -9.24 eV/atom
* calculated volume: 140.5 Å³/cell
* calculated formation energy: 0.067 eV/atom
* crystal system: tetragonal

abc: 7.296 7.296 2.640
angles: 90.00 90.00 90.00
Space group P4/mbm (No. 127)
Symmetry-distinct sites (fractional):
Nb 0.000 0.000 0.000 [2 per cell]
Re 0.176 0.324 0.500 [4 per cell]
Ni 0.118 0.618 0.000 [4 per cell]

---

No. 24
Below is NbRe2Ni after structural relaxation, with properties calculated at the GGA-PBE level.

* raw total energy: -9.62 eV/atom
* calculated volume: 260.0 Å³/cell
* ΔE to the lowest computed polymorph: 629 meV/atom
* calculated formation energy: 0.571 eV/atom
* crystal system: tetragonal

abc: 3.746 3.746 18.524
angles: 90.00 90.00 90.00
Space group I-42d (No. 122)
Symmetry-distinct sites (fractional):
Nb 0.000 0.000 0.000 [4 per cell]
Re 0.213 0.250 0.625 [8 per cell]
Ni 0.000 0.000 0.500 [4 per cell]

---

No. 25
Below is NbRe2Ni after structural relaxation, with properties calculated at the GGA-PBE level.

* raw total energy: -10.24 eV/atom
* calculated volume: 59.0 Å³/cell
* ΔE to the lowest computed polymorph: 0 meV/atom
* calculated formation energy: -0.058 eV/atom
* crystal system: tetragonal

abc: 3.837 3.837 4.007
angles: 90.00 90.00 90.00
Space group P4/mmm (No. 123)
Symmetry-distinct sites (fractional):
Nb 0.000 0.000 0.000 [1 per cell]
Re 0.000 0.500 0.500 [2 per cell]
Ni 0.500 0.500 0.000 [1 per cell]

---

No. 26
Below is NbRe3Ni after structural relaxation, with properties calculated at the GGA-PBE level.

* raw total energy: -9.20 eV/atom
* calculated volume: 85.9 Å³/cell
* ΔE to the lowest computed polymorph: 0 meV/atom
* calculated formation energy: 1.443 eV/atom
* crystal system: cubic

abc: 4.413 4.413 4.413
angles: 90.00 90.00 90.00
Space group Pm-3m (No. 221)
Symmetry-distinct sites (fractional):
Nb 0.000 0.000 0.000 [1 per cell]
Re 0.000 0.500 0.500 [3 per cell]
Ni 0.500 0.500 0.500 [1 per cell]

---

No. 27
Below is Nb2ReNi2 after structural relaxation, with properties calculated at the GGA-PBE level.

* raw total energy: -8.92 eV/atom
* calculated volume: 146.6 Å³/cell
* calculated formation energy: -0.086 eV/atom
* crystal system: tetragonal

abc: 6.717 6.717 3.251
angles: 90.00 90.00 90.00
Space group P4/mbm (No. 127)
Symmetry-distinct sites (fractional):
Nb 0.179 0.321 0.000 [4 per cell]
Re 0.000 0.000 0.500 [2 per cell]
Ni 0.122 0.622 0.500 [4 per cell]